## i
A plane-wave DFT calculation with PBE-GGA was carried out for crystalline Tb3Y2In4 at its relaxed geometry.

```
Tb3Y2In4
1.0
-3.416 1.298 3.822
-2.608 -3.783 2.612
7.570 -0.437 6.913
In Y Tb
4 2 3
Direct
0.000 0.000 0.654 In
0.000 0.000 0.346 In
0.334 0.333 0.101 In
0.666 0.667 0.899 In
0.333 0.334 0.777 Y
0.667 0.666 0.223 Y
0.667 0.667 0.576 Tb
0.333 0.333 0.424 Tb
0.000 0.000 0.000 Tb
```

## Properties
Calculated volume: 248.3 Å³ per cell
M_tot: 0.00 μB/f.u.
Density of states at the Fermi level: 7.71 states/eV/cell

***

## ii
A plane-wave DFT calculation with PBE-GGA was carried out for crystalline Tb3Y2In4 at its relaxed geometry.

```
Tb3Y2In4
1.0
-5.229 -2.023 4.316
6.304 -4.550 5.505
3.611 7.576 2.126
In Y Tb
8 4 6
Direct
0.232 0.750 0.965 In
0.192 0.972 0.384 In
0.768 0.250 0.035 In
0.808 0.028 0.616 In
0.732 0.750 0.965 In
0.308 0.472 0.616 In
0.692 0.528 0.384 In
0.268 0.250 0.035 In
0.608 0.944 0.217 Y
0.392 0.056 0.783 Y
0.108 0.556 0.217 Y
0.892 0.444 0.783 Y
0.034 0.750 0.567 Tb
0.000 0.000 0.000 Tb
0.534 0.750 0.567 Tb
0.500 0.500 0.000 Tb
0.966 0.250 0.433 Tb
0.466 0.250 0.433 Tb
```

## Properties
Calculated volume: 532.5 Å³ per cell
M_tot: 0.00 μB/f.u.
Density of states at the Fermi level: 13.30 states/eV/cell

***

What should be chosen as the least stable of them? Choose ii.

***

## i
A plane-wave DFT calculation with PBE-GGA was carried out for crystalline Tb3Y6In at its relaxed geometry.

```
Tb3Y6In
1.0
-2.536 -4.205 3.988
2.214 -8.291 -7.333
6.421 4.051 8.353
Y Tb In
12 6 2
Direct
0.336 0.461 0.897 Y
0.054 0.742 0.626 Y
0.836 0.539 0.103 Y
0.054 0.374 0.258 Y
0.836 0.897 0.461 Y
0.336 0.103 0.539 Y
0.314 0.985 0.015 Y
0.814 0.015 0.985 Y
0.789 0.289 0.711 Y
0.554 0.626 0.742 Y
0.554 0.258 0.374 Y
0.289 0.711 0.289 Y
0.490 0.959 0.705 Tb
0.990 0.705 0.959 Tb
0.081 0.415 0.585 Tb
0.581 0.585 0.415 Tb
0.490 0.295 0.041 Tb
0.990 0.041 0.295 Tb
0.543 0.848 0.152 In
0.043 0.152 0.848 In
```

## Properties
Calculated volume: 624.1 Å³ per cell
M_tot: 0.00 μB/f.u.
Density of states at the Fermi level: 22.19 states/eV/cell

***

## ii
A plane-wave DFT calculation with PBE-GGA was carried out for crystalline Tb3Y6In at its relaxed geometry.

```
Tb3Y6In
1.0
-2.831 4.132 2.449
-8.030 -5.421 -0.137
7.151 -1.341 10.531
Y Tb In
12 6 2
Direct
0.250 0.977 0.826 Y
0.250 0.214 0.138 Y
0.250 0.748 0.509 Y
0.750 0.252 0.491 Y
0.250 0.544 0.699 Y
0.750 0.609 0.071 Y
0.750 0.023 0.174 Y
0.250 0.023 0.332 Y
0.750 0.977 0.668 Y
0.250 0.391 0.929 Y
0.750 0.786 0.862 Y
0.750 0.456 0.301 Y
0.750 0.202 0.973 Tb
0.250 0.153 0.630 Tb
0.250 0.798 0.027 Tb
0.750 0.847 0.370 Tb
0.750 0.377 0.779 Tb
0.250 0.623 0.221 Tb
0.750 0.618 0.586 In
0.250 0.382 0.414 In
```

## Properties
Calculated volume: 628.9 Å³ per cell
M_tot: 0.00 μB/f.u.
Density of states at the Fermi level: 30.32 states/eV/cell

***

What should be chosen as the least stable of them? Choose i.

***

## i
A plane-wave DFT calculation with PBE-GGA was carried out for crystalline Tb2Y3In4 at its relaxed geometry.

```
Tb2Y3In4
1.0
-5.146 -1.203 -0.079
-1.958 -3.466 3.472
-1.893 7.670 6.573
In Tb Y
4 2 3
Direct
0.667 0.667 0.899 In
0.000 0.000 0.654 In
0.000 0.000 0.346 In
0.333 0.333 0.101 In
0.667 0.666 0.222 Tb
0.333 0.334 0.778 Tb
0.333 0.333 0.424 Y
0.667 0.667 0.576 Y
0.000 0.000 0.000 Y
```

## Properties
Calculated volume: 248.4 Å³ per cell
M_tot: 0.00 μB/f.u.
Density of states at the Fermi level: 8.32 states/eV/cell

***

## ii
A plane-wave DFT calculation with PBE-GGA was carried out for crystalline Tb2Y3In4 at its relaxed geometry.

```
Tb2Y3In4
1.0
-4.337 -1.493 5.416
5.600 -7.160 2.511
6.326 5.639 1.969
In Y Tb
8 6 4
Direct
0.808 0.033 0.616 In
0.192 0.967 0.384 In
0.768 0.250 0.035 In
0.232 0.750 0.965 In
0.268 0.250 0.035 In
0.692 0.533 0.384 In
0.308 0.467 0.616 In
0.732 0.750 0.965 In
0.000 0.000 0.000 Y
0.963 0.250 0.427 Y
0.037 0.750 0.573 Y
0.463 0.250 0.427 Y
0.537 0.750 0.573 Y
0.500 0.500 0.000 Y
0.891 0.440 0.781 Tb
0.609 0.940 0.219 Tb
0.391 0.060 0.781 Tb
0.109 0.560 0.219 Tb
```

## Properties
Calculated volume: 531.6 Å³ per cell
M_tot: 0.00 μB/f.u.
Density of states at the Fermi level: 13.39 states/eV/cell

***

What should be chosen as the least stable of them? Choose ii.

***

## i
A plane-wave DFT calculation with PBE-GGA was carried out for crystalline Tb3Y2In2 at its relaxed geometry.

```
Tb3Y2In2
1.0
-1.110 -0.005 4.792
2.338 -2.494 0.539
7.792 8.245 4.340
Y Tb In
2 3 2
Direct
0.713 0.500 0.573 Y
0.287 0.500 0.427 Y
0.141 0.000 0.718 Tb
0.000 0.000 0.000 Tb
0.859 0.000 0.282 Tb
0.571 0.500 0.858 In
0.429 0.500 0.142 In
```

## Properties
Calculated volume: 202.5 Å³ per cell
M_tot: 0.47 μB/f.u.
Density of states at the Fermi level: 7.33 states/eV/cell

***

## ii
A plane-wave DFT calculation with PBE-GGA was carried out for crystalline Tb3Y2In2 at its relaxed geometry.

```
Tb3Y2In2
1.0
5.211 0.000 0.000
-2.605 5.764 0.156
0.000 -0.076 6.895
In Tb Y
2 3 2
Direct
0.880 0.759 0.584 In
0.120 0.241 0.416 In
0.706 0.413 0.164 Tb
0.294 0.587 0.836 Tb
0.000 0.000 0.000 Tb
0.601 0.201 0.680 Y
0.399 0.799 0.320 Y
```

## Properties
Calculated volume: 207.1 Å³ per cell
M_tot: 0.00 μB/f.u.
Density of states at the Fermi level: 7.49 states/eV/cell

***

What should be chosen as the least stable of them? Choose i.

***

## i
A plane-wave DFT calculation with PBE-GGA was carried out for crystalline Tb6YIn2 at its relaxed geometry.

```
Tb6YIn2
1.0
-2.864 -0.304 -3.767
-5.591 -1.772 1.409
-5.672 8.729 0.622
Tb In Y
6 2 1
Direct
0.994 0.339 0.673 Tb
0.672 0.211 0.445 Tb
0.673 0.543 0.112 Tb
0.006 0.661 0.327 Tb
0.327 0.457 0.888 Tb
0.328 0.789 0.555 Tb
0.340 0.103 0.217 In
0.660 0.897 0.783 In
0.000 0.000 0.000 Y
```

## Properties
Calculated volume: 261.4 Å³ per cell
M_tot: 0.00 μB/f.u.
Density of states at the Fermi level: 11.85 states/eV/cell

***

## ii
A plane-wave DFT calculation with PBE-GGA was carried out for crystalline Tb6YIn2 at its relaxed geometry.

```
Tb6YIn2
1.0
-3.099 0.761 -1.174
-5.394 -2.151 7.930
-2.751 6.674 6.671
Tb Y In
6 1 2
Direct
0.500 0.336 0.664 Tb
0.670 0.643 0.017 Tb
0.330 0.983 0.357 Tb
0.670 0.017 0.643 Tb
0.330 0.357 0.983 Tb
0.500 0.664 0.336 Tb
0.000 0.000 0.000 Y
0.153 0.347 0.347 In
0.847 0.653 0.653 In
```

## Properties
Calculated volume: 268.5 Å³ per cell
M_tot: 0.00 μB/f.u.
Density of states at the Fermi level: 12.36 states/eV/cell

***

What should be chosen as the least stable of them? Choose ii.

***

## i
A plane-wave DFT calculation with PBE-GGA was carried out for crystalline TbY2In2 at its relaxed geometry.

```
TbY2In2
1.0
3.738 0.000 -0.501
0.000 5.356 0.000
-0.029 0.000 13.996
In Tb Y
4 2 4
Direct
0.550 0.250 0.099 In
0.357 0.250 0.712 In
0.450 0.750 0.901 In
0.643 0.750 0.288 In
0.148 0.250 0.297 Tb
0.852 0.750 0.703 Tb
0.237 0.750 0.474 Y
0.763 0.250 0.526 Y
0.952 0.250 0.904 Y
0.048 0.750 0.096 Y
```

## Properties
Calculated volume: 280.1 Å³ per cell
M_tot: 0.00 μB/f.u.
Density of states at the Fermi level: 8.90 states/eV/cell

***

## ii
A plane-wave DFT calculation with PBE-GGA was carried out for crystalline TbY2In2 at its relaxed geometry.

```
TbY2In2
1.0
5.387 0.000 0.000
0.000 6.523 0.000
-2.693 0.000 8.031
In Y Tb
4 4 2
Direct
0.785 0.860 0.571 In
0.602 0.067 0.205 In
0.398 0.567 0.795 In
0.215 0.360 0.429 In
0.972 0.779 0.945 Y
0.028 0.279 0.055 Y
0.802 0.348 0.604 Y
0.198 0.848 0.396 Y
0.597 0.581 0.194 Tb
0.403 0.081 0.806 Tb
```

## Properties
Calculated volume: 282.2 Å³ per cell
M_tot: 0.00 μB/f.u.
Density of states at the Fermi level: 10.09 states/eV/cell

***

What should be chosen as the least stable of them? Choose ii.

***

## i
A plane-wave DFT calculation with PBE-GGA was carried out for crystalline Tb6Y3In at its relaxed geometry.

```
Tb6Y3In
1.0
-1.049 5.992 -0.843
-9.477 -2.343 -4.860
0.275 1.566 10.789
Tb Y In
12 6 2
Direct
0.532 0.288 0.387 Tb
0.032 0.712 0.613 Tb
0.666 0.271 0.729 Tb
0.844 0.947 0.518 Tb
0.344 0.518 0.947 Tb
0.943 0.056 0.944 Tb
0.032 0.387 0.288 Tb
0.532 0.613 0.712 Tb
0.844 0.482 0.053 Tb
0.443 0.944 0.056 Tb
0.344 0.053 0.482 Tb
0.166 0.729 0.271 Tb
0.059 0.390 0.610 Y
0.462 0.944 0.731 Y
0.462 0.269 0.056 Y
0.962 0.056 0.269 Y
0.559 0.610 0.390 Y
0.962 0.731 0.944 Y
0.143 0.212 0.788 In
0.643 0.788 0.212 In
```

## Properties
Calculated volume: 635.1 Å³ per cell
M_tot: 0.00 μB/f.u.
Density of states at the Fermi level: 31.44 states/eV/cell

***

## ii
A plane-wave DFT calculation with PBE-GGA was carried out for crystalline Tb6Y3In at its relaxed geometry.

```
Tb6Y3In
1.0
5.320 0.000 0.000
0.000 14.102 -6.934
0.000 -2.716 10.389
Y In Tb
6 2 12
Direct
0.750 0.511 0.624 Y
0.250 0.200 0.602 Y
0.750 0.202 0.275 Y
0.750 0.800 0.398 Y
0.250 0.489 0.376 Y
0.250 0.798 0.725 Y
0.750 0.644 0.018 In
0.250 0.356 0.982 In
0.750 0.812 0.950 Tb
0.250 0.988 0.615 Tb
0.750 0.012 0.385 Tb
0.750 0.686 0.543 Tb
0.250 0.314 0.457 Tb
0.250 0.504 0.872 Tb
0.250 0.812 0.179 Tb
0.750 0.496 0.128 Tb
0.250 0.019 0.150 Tb
0.750 0.981 0.850 Tb
0.750 0.188 0.821 Tb
0.250 0.188 0.050 Tb
```

## Properties
Calculated volume: 679.1 Å³ per cell
M_tot: 0.00 μB/f.u.
Density of states at the Fermi level: 27.92 states/eV/cell

***

What should be chosen as the least stable of them? Choose ii.

***

## i
A plane-wave DFT calculation with PBE-GGA was carried out for crystalline Tb8Zn2In at its relaxed geometry.

```
Tb8Zn2In
1.0
5.406 -0.187 -0.281
-1.167 8.188 -0.374
-1.167 -3.498 7.412
Tb In Zn
8 1 2
Direct
0.096 0.084 0.325 Tb
0.696 0.396 0.396 Tb
0.904 0.916 0.675 Tb
0.500 0.233 0.767 Tb
0.304 0.604 0.604 Tb
0.096 0.325 0.084 Tb
0.904 0.675 0.916 Tb
0.500 0.767 0.233 Tb
0.500 0.000 0.000 In
0.000 0.308 0.692 Zn
0.000 0.692 0.308 Zn
```

## Properties
Calculated volume: 315.5 Å³ per cell
M_tot: 0.00 μB/f.u.
Density of states at the Fermi level: 15.32 states/eV/cell

***

## ii
A plane-wave DFT calculation with PBE-GGA was carried out for crystalline Tb8Zn2In at its relaxed geometry.

```
Tb8Zn2In
1.0
-3.674 -0.986 3.542
3.191 -7.590 1.196
4.551 6.630 2.754
Zn Tb In
2 8 1
Direct
0.219 0.618 0.439 Zn
0.781 0.382 0.561 Zn
0.315 0.037 0.629 Tb
0.396 0.537 0.793 Tb
0.685 0.963 0.371 Tb
0.934 0.276 0.869 Tb
0.066 0.724 0.131 Tb
0.148 0.209 0.297 Tb
0.852 0.791 0.703 Tb
0.604 0.463 0.207 Tb
0.500 0.000 0.000 In
```

## Properties
Calculated volume: 306.5 Å³ per cell
M_tot: 0.00 μB/f.u.
Density of states at the Fermi level: 9.34 states/eV/cell

***

What should be chosen as the least stable of them? Choose i.

***

## i
A plane-wave DFT calculation with PBE-GGA was carried out for crystalline Tb2Zn3In at its relaxed geometry.

```
Tb2Zn3In
1.0
5.802 -0.589 0.000
-0.814 5.775 0.000
-2.494 -2.593 7.946
Zn In Tb
6 2 4
Direct
0.837 0.325 0.161 Zn
0.837 0.837 0.675 Zn
0.325 0.837 0.161 Zn
0.675 0.163 0.839 Zn
0.163 0.163 0.325 Zn
0.163 0.675 0.839 Zn
0.335 0.335 0.669 In
0.665 0.665 0.331 In
0.750 0.250 0.500 Tb
0.250 0.750 0.500 Tb
0.758 0.758 0.000 Tb
0.242 0.242 0.000 Tb
```

## Properties
Calculated volume: 262.4 Å³ per cell
M_tot: 0.00 μB/f.u.
Density of states at the Fermi level: 8.91 states/eV/cell

***

## ii
A plane-wave DFT calculation with PBE-GGA was carried out for crystalline Tb2Zn3In at its relaxed geometry.

```
Tb2Zn3In
1.0
0.431 -2.077 -3.023
-2.191 -3.451 2.059
-6.063 5.472 -2.368
Tb Zn In
2 3 1
Direct
0.138 0.138 0.275 Tb
0.862 0.362 0.724 Tb
0.296 0.796 0.592 Zn
0.698 0.698 0.397 Zn
0.545 0.545 0.089 Zn
0.462 0.962 0.923 In
```

## Properties
Calculated volume: 134.9 Å³ per cell
M_tot: 0.00 μB/f.u.
Density of states at the Fermi level: 6.30 states/eV/cell

***

What should be chosen as the least stable of them? Choose ii.

***

## i
A plane-wave DFT calculation with PBE-GGA was carried out for crystalline Tb8ZnIn2 at its relaxed geometry.

```
Tb8ZnIn2
1.0
5.046 0.000 -1.444
-0.121 6.729 -0.423
-0.057 0.052 9.334
In Tb Zn
2 8 1
Direct
0.845 0.842 0.690 In
0.155 0.158 0.310 In
0.213 0.608 0.425 Tb
0.590 0.406 0.181 Tb
0.666 0.905 0.332 Tb
0.968 0.235 0.936 Tb
0.787 0.392 0.575 Tb
0.032 0.765 0.064 Tb
0.334 0.095 0.668 Tb
0.410 0.594 0.819 Tb
0.500 0.000 0.000 Zn
```

## Properties
Calculated volume: 316.5 Å³ per cell
M_tot: 0.00 μB/f.u.
Density of states at the Fermi level: 11.84 states/eV/cell

***

## ii
A plane-wave DFT calculation with PBE-GGA was carried out for crystalline Tb8ZnIn2 at its relaxed geometry.

```
Tb8ZnIn2
1.0
-3.296 1.810 3.611
-3.924 -5.478 -0.836
7.577 -3.420 4.868
Zn Tb In
1 8 2
Direct
0.500 0.000 0.000 Zn
0.653 0.969 0.306 Tb
0.796 0.707 0.592 Tb
0.984 0.229 0.968 Tb
0.204 0.293 0.408 Tb
0.593 0.459 0.185 Tb
0.016 0.771 0.032 Tb
0.347 0.031 0.694 Tb
0.407 0.541 0.815 Tb
0.815 0.261 0.629 In
0.185 0.739 0.371 In
```

## Properties
Calculated volume: 318.7 Å³ per cell
M_tot: 0.00 μB/f.u.
Density of states at the Fermi level: 11.10 states/eV/cell

***

What should be chosen as the least stable of them? Choose ii.